1.
LiNpPbO6: relaxed, PBE.

Cell: 5.567 5.567 9.480 Å, 90.00 90.00 120.00°
Fractional coordinates of all 18 atoms:
O (0.638, 0.976, 0.868)
O (0.638, 0.662, 0.632)
O (0.338, 0.362, 0.868)
O (0.338, 0.976, 0.632)
O (0.662, 0.638, 0.132)
O (0.976, 0.638, 0.368)
O (0.662, 0.024, 0.368)
O (0.362, 0.024, 0.132)
O (0.024, 0.662, 0.868)
O (0.024, 0.362, 0.632)
O (0.362, 0.338, 0.368)
O (0.976, 0.338, 0.132)
Np (0.333, 0.667, 0.750)
Np (0.667, 0.333, 0.250)
Li (0.000, 0.000, 0.500)
Li (0.000, 0.000, 0.000)
Pb (0.333, 0.667, 0.250)
Pb (0.667, 0.333, 0.750)

## Properties
- V: 14.1 A^3/atom
- Electronic total energy: -7.071 eV/atom
- Mass density: 7.142 g/cm3
- Space-group type: P-31c
- Total magnetic moment: 0.00 μB/cell


2.
AgHgO3: relaxed, PBE.

Cell: 4.152 4.152 4.152 Å, 90.00 90.00 90.00°
Each line ends with the local moment (μB).
Fractional coordinates of all 5 atoms:
Ag (0.500, 0.500, 0.500)  -0.13
Hg (0.000, 0.000, 0.000)  -0.02
O (0.000, 0.000, 0.500)  -0.13
O (0.000, 0.500, 0.000)  -0.32
O (0.500, 0.000, 0.000)  -0.34

## Properties
- V: 14.3 A^3/atom
- Electronic total energy: -2.956 eV/atom
- Mass density: 8.270 g/cm3
- Space-group type: Pm-3m
- D(E_F): 7.0 states/eV/f.u.
- Total magnetic moment: 1.07 μB/cell


3.
CaBPd3: relaxed, PBE.

Cell: 5.281 5.281 7.565 Å, 69.57 69.57 90.00°
Fractional coordinates of all 10 atoms:
Pd (0.688, 0.688, 0.624)
Pd (0.127, 0.879, 0.746)
Pd (0.312, 0.312, 0.376)
Pd (0.121, 0.873, 0.254)
Pd (0.626, 0.873, 0.254)
Pd (0.127, 0.374, 0.746)
B (0.250, 0.750, 0.500)
B (0.000, 0.000, 0.000)
Ca (0.586, 0.086, 0.828)
Ca (0.914, 0.414, 0.172)

## Properties
- V: 18.3 A^3/atom
- Electronic total energy: -5.111 eV/atom
- Mass density: 6.701 g/cm3
- Space-group type: I-4m2
- D(E_F): 1.5 states/eV/f.u.
- Total magnetic moment: 0.00 μB/cell


4.
NbMoAs2: relaxed, PBE.

Cell: 3.158 3.158 8.010 Å, 78.63 78.63 60.00°
Fractional coordinates of all 4 atoms:
As (0.753, 0.753, 0.740)
As (0.247, 0.247, 0.260)
Mo (0.500, 0.500, 0.500)
Nb (0.000, 0.000, 0.000)

## Properties
- Offset from the most stable computed form: 176 meV per atom
- V: 16.8 A^3/atom
- Electronic total energy: -7.576 eV/atom
- Mass density: 8.348 g/cm3
- Space-group type: R-3m
- D(E_F): 3.8 states/eV/f.u.
- Total magnetic moment: 0.00 μB/cell